A plane-wave DFT calculation with PBE was carried out for a geometry-optimized HgOsRh structure.

Structure (POSCAR):
```
HgOsRh
1.0
4.627 -1.419 0.000
4.627 1.419 0.000
-3.392 0.000 7.550
Hg Os Rh
2 2 2
direct
0.167 0.167 0.099
0.833 0.833 0.901
0.157 0.157 0.553
0.843 0.843 0.447
0.498 0.498 0.275
0.502 0.502 0.725
```

Values from the calculation:
N(E_F): 6.07 states/eV per cell
ΔH_f (0 K): 0.30 eV per atom
VASP energy: -35.94 eV/cell
Total magnetic moment: 0.00 μB per atom
Energy above the lowest structure with this stoichiometry: 0 meV per atom

A plane-wave DFT calculation with PBE was carried out for a geometry-optimized Ba2InHgH structure.

Structure (POSCAR):
```
Ba2InHgH
1.0
5.771 0.000 0.000
0.000 5.771 0.000
0.000 0.000 4.552
Ba In Hg H
2 1 1 1
direct
0.000 0.500 0.000
0.500 0.000 0.000
0.000 0.000 0.500
0.500 0.500 0.500
0.000 0.000 0.000
```

Values from the calculation:
N(E_F): 1.84 states/eV per cell
VASP energy: -12.09 eV/cell
Total magnetic moment: 0.00 μB per atom
Energy above the lowest structure with this stoichiometry: 0 meV per atom

Which of these has the highest N(E_F)?
HgOsRh